PmRe4O12: relaxed, GGA-PBE.

Structure (extended XYZ):
```
17
Lattice="-3.857 3.857 3.826 3.857 -3.857 3.826 3.857 3.857 -3.826" Properties=species:S:1:pos:R:3 pbc="T T T"
Pm 0.000 0.000 0.000
Re 1.929 1.929 -1.913
Re 1.929 -1.929 1.913
Re -1.929 1.929 1.913
Re 1.929 1.929 1.913
O 3.857 -1.977 2.058
O 1.880 0.000 1.768
O 5.835 0.000 1.768
O 1.982 1.982 0.000
O 1.875 -1.875 3.826
O 0.000 1.880 1.768
O 3.857 1.977 2.058
O -1.875 1.875 3.826
O 1.875 1.875 3.826
O -1.977 3.857 2.058
O 1.977 3.857 2.058
O 0.000 5.835 1.768
```

Summary:
Formation energy without anion corrections in kJ per mole of atoms: -174.2
Space group: I4/mmm (139)

Na2Cd2Hg: relaxed, GGA-PBE.

Structure (extended XYZ):
```
10
Lattice="7.705 0.000 0.000 0.000 7.705 0.000 0.000 0.000 4.616" Properties=species:S:1:pos:R:3 pbc="T T T"
Na 1.313 2.540 0.000
Na 2.540 6.393 0.000
Na 5.165 1.313 0.000
Na 6.393 5.165 0.000
Cd 1.031 4.884 2.308
Cd 2.822 1.031 2.308
Cd 4.884 6.675 2.308
Cd 6.675 2.822 2.308
Hg 0.000 0.000 2.308
Hg 3.853 3.853 2.308
```

Summary:
Space group: P4/mbm (127)
Polymorph energy (0 for the lowest one) in eV per formula unit: 0.18

ZrCr2B4: relaxed, GGA-PBE.

Structure (extended XYZ):
```
7
Lattice="-1.515 1.644 6.608 1.515 -1.644 6.608 1.515 1.644 -6.608" Properties=species:S:1:pos:R:3 pbc="T T T"
Zr 0.000 0.000 0.000
Cr 1.515 0.000 2.490
Cr 0.000 1.644 4.118
B 1.515 0.000 4.677
B 0.000 0.000 5.601
B 0.000 0.000 7.615
B 0.000 1.644 1.931
```

Summary:
DFT total energy in eV per atom: -8.343
Space group: Immm (71)